# 1
Here is a relaxed structure of ZnInPb2 from the Alexandria database. Energies are from GGA-PBEsol.

a b c (Å): 3.4157 3.4140 8.5635
angles (deg): 90.00 90.00 90.00
Fractional coordinates of all 4 atoms:
Pb  0.0000  0.0000  0.9900
Zn  0.0000  0.0000  0.5145
In  0.5000  0.5000  0.7108
Pb  0.5000  0.5000  0.2847

Summary:
* D(E_F): 1.53 states/eV per cell
* ΔE_f: 0.084 eV per atom
* uncorrected energy: -3.0561 eV per atom

---

# 2
Here is a relaxed structure of BaAsIr2 from the Alexandria database. Energies are from GGA-PBEsol.

a b c (Å): 4.0402 4.3760 4.3760
angles (deg): 90.00 90.00 90.00
Fractional coordinates of all 4 atoms:
Ba  0.5000  0.0000  0.0000
As  0.5000  0.5000  0.5000
Ir  0.0000  0.5000  0.0000
Ir  0.0000  0.0000  0.5000

Summary:
* D(E_F): 2.54 states/eV per cell
* ΔE_f: 0.608 eV per atom
* uncorrected energy: -6.1174 eV per atom

---

# 3
Here is a relaxed structure of SrCu9Sn4 from the Alexandria database. Energies are from GGA-PBEsol.

a b c (Å): 8.5620 8.6306 8.5620
angles (deg): 60.26 90.00 119.74
Fractional coordinates of all 28 atoms:
Cu  0.0546  0.0000  0.2027
Cu  0.7817  0.3479  0.9338
Cu  0.5000  0.0000  0.0000
Cu  0.7973  0.0000  0.0546
Cu  0.4338  0.6521  0.2817
Cu  0.2817  0.3479  0.2183
Sr  0.2500  0.5000  0.7500
Sn  0.6885  0.7482  0.4403
Sn  0.1885  0.7482  0.3115
Cu  0.2973  0.0000  0.4454
Sr  0.7500  0.5000  0.2500
Cu  0.5546  0.0000  0.2973
Cu  0.2027  0.0000  0.9454
Sn  0.0597  0.7482  0.8115
Cu  0.2183  0.6521  0.0662
Cu  0.9338  0.6521  0.5662
Sn  0.4403  0.2518  0.0597
Sn  0.5597  0.7482  0.9403
Sn  0.8115  0.2518  0.6885
Sn  0.3115  0.2518  0.5597
Cu  0.7027  0.0000  0.5546
Cu  0.7183  0.6521  0.7817
Cu  0.0000  0.0000  0.5000
Sn  0.9403  0.2518  0.1885
Cu  0.9454  0.0000  0.7973
Cu  0.0662  0.3479  0.4338
Cu  0.4454  0.0000  0.7027
Cu  0.5662  0.3479  0.7183

Summary:
* D(E_F): 5.37 states/eV per cell
* ΔE_f: -0.168 eV per atom
* uncorrected energy: -4.3026 eV per atom

---

# 4
Here is a relaxed structure of BeCrRu2 from the Alexandria database. Energies are from GGA-PBEsol.

a b c (Å): 2.5457 2.5457 8.1158
angles (deg): 90.00 90.00 114.52
Fractional coordinates of all 4 atoms:
Cr  0.5000  0.5000  0.2644
Be  0.0000  0.0000  0.4968
Ru  0.0000  0.0000  0.0130
Ru  0.5000  0.5000  0.7258

Summary:
* D(E_F): 4.64 states/eV per cell
* ΔE_f: 0.317 eV per atom
* uncorrected energy: -8.3297 eV per atom

---

# 5
Here is a relaxed structure of Ba2Sb2O5 from the Alexandria database. Energies are from GGA-PBEsol.

a b c (Å): 6.3689 8.0692 14.4205
angles (deg): 90.00 90.00 90.00
Fractional coordinates of all 36 atoms:
O  0.0245  0.8705  0.4092
Ba  0.7500  0.3747  0.9265
O  0.0249  0.1208  0.9064
O  0.9755  0.1295  0.5908
Sb  0.2500  0.1161  0.8154
O  0.9751  0.8792  0.0936
O  0.5249  0.8792  0.0936
O  0.5245  0.1295  0.5908
Ba  0.7500  0.6247  0.4314
Sb  0.7500  0.1319  0.6817
O  0.5249  0.6208  0.5936
O  0.7500  0.1266  0.2216
Sb  0.2500  0.3839  0.3154
O  0.0245  0.6295  0.9092
Ba  0.2500  0.8747  0.5735
O  0.0249  0.3792  0.4064
Sb  0.7500  0.6161  0.6846
O  0.2500  0.8734  0.7784
Sb  0.2500  0.8681  0.3183
O  0.9755  0.3705  0.0908
Sb  0.7500  0.8839  0.1846
O  0.9751  0.6208  0.5936
Ba  0.7500  0.1253  0.4265
O  0.4755  0.8705  0.4092
Sb  0.2500  0.6319  0.8183
O  0.2500  0.6266  0.2784
O  0.7500  0.3734  0.7216
Sb  0.7500  0.3681  0.1817
Ba  0.2500  0.6253  0.0735
O  0.4751  0.1208  0.9064
Ba  0.2500  0.3753  0.5686
O  0.4755  0.6295  0.9092
Ba  0.2500  0.1247  0.0686
O  0.4751  0.3792  0.4064
O  0.5245  0.3705  0.0908
Ba  0.7500  0.8753  0.9314

Summary:
* D(E_F): 0.00 states/eV per cell
* uncorrected energy: -6.4930 eV per atom
* formation energy without anion corrections: -2.086 eV per atom

---

# 6
Here is a relaxed structure of CsCuGe2W from the Alexandria database. Energies are from GGA-PBEsol.

a b c (Å): 4.9146 4.9146 5.0738
angles (deg): 90.00 90.00 90.00
Fractional coordinates of all 5 atoms:
Ge  0.0000  0.5000  0.0000
Cs  0.5000  0.5000  0.5000
Cu  0.0000  0.0000  0.5000
Ge  0.5000  0.0000  0.0000
W  0.0000  0.0000  0.0000

Summary:
* D(E_F): 3.40 states/eV per cell
* ΔE_f: 0.502 eV per atom
* uncorrected energy: -5.2900 eV per atom

---

# 7
Here is a relaxed structure of ZrPbAu2 from the Alexandria database. Energies are from GGA-PBEsol.

a b c (Å): 3.3784 3.7638 6.5157
angles (deg): 90.00 90.00 90.00
Fractional coordinates of all 4 atoms:
Zr  0.5000  0.5000  0.5000
Pb  0.5000  0.5000  0.0000
Au  0.0000  0.0000  0.2789
Au  0.0000  0.0000  0.7211

Summary:
* D(E_F): 2.63 states/eV per cell
* ΔE_f: -0.320 eV per atom
* uncorrected energy: -5.5541 eV per atom

---

# 8
Here is a relaxed structure of Na3Sr3GaAs4 from the Alexandria database. Energies are from GGA-PBEsol.

a b c (Å): 7.4771 9.5618 9.5618
angles (deg): 120.00 90.00 90.00
Fractional coordinates of all 22 atoms:
As  0.2226  0.3780  0.1890
As  0.2226  0.8110  0.6220
Na  0.8290  0.8640  0.7279
Na  0.8290  0.8640  0.1360
As  0.7226  0.1890  0.8110
As  0.7226  0.1890  0.3780
Na  0.3290  0.1360  0.8640
Na  0.3290  0.1360  0.2721
Sr  0.0009  0.0433  0.5216
As  0.7226  0.6220  0.8110
Ga  0.6282  0.3333  0.6667
Na  0.8290  0.2721  0.1360
As  0.2226  0.8110  0.1890
Ga  0.1282  0.6667  0.3333
Na  0.3290  0.7279  0.8640
Sr  0.5009  0.5216  0.0433
As  0.7830  0.6667  0.3333
Sr  0.5009  0.5216  0.4784
Sr  0.0009  0.4784  0.9567
Sr  0.0009  0.4784  0.5216
Sr  0.5009  0.9567  0.4784
As  0.2830  0.3333  0.6667

Summary:
* ΔE_f: -0.825 eV per atom
* uncorrected energy: -3.8692 eV per atom

---

# 9
Here is a relaxed structure of FeRe2Ru from the Alexandria database. Energies are from GGA-PBEsol.

a b c (Å): 2.6899 4.2438 4.6161
angles (deg): 90.00 90.00 90.00
Fractional coordinates of all 4 atoms:
Re  0.0000  0.0000  0.0521
Ru  0.5000  0.0000  0.5403
Fe  0.5000  0.5000  0.1984
Re  0.0000  0.5000  0.7092

Summary:
* D(E_F): 4.03 states/eV per cell
* energy above the lowest structure with this stoichiometry: 0.0 kJ/mol of atoms
* ΔE_f: -0.033 eV per atom
* uncorrected energy: -11.4829 eV per atom

---

# 10
Here is a relaxed structure of FeHgW2 from the Alexandria database. Energies are from GGA-PBEsol.

a b c (Å): 3.2680 4.4609 5.0679
angles (deg): 116.11 108.81 90.00
Each line ends with the local moment (μB).
Fractional coordinates of all 4 atoms:
W  0.0147  0.0147  0.0293  0.14
Hg  0.2375  0.7375  0.4749  0.01
Fe  0.4879  0.4879  0.9758  2.25
W  0.7600  0.2600  0.5200  -0.03

Summary:
* D(E_F): 2.44 states/eV per cell
* ΔE_f: 0.599 eV per atom
* uncorrected energy: -8.6877 eV per atom

---

# 11
Here is a relaxed structure of YMoAu2 from the Alexandria database. Energies are from GGA-PBEsol.

a b c (Å): 3.4916 3.4899 6.2154
angles (deg): 90.00 90.00 90.00
Each line ends with the local moment (μB).
Fractional coordinates of all 4 atoms:
Mo  0.0000  0.0000  0.4622  0.64
Y  0.5000  0.5000  0.7592  0.01
Au  0.0000  0.0000  0.0142  0.01
Au  0.5000  0.5000  0.2644  0.04

Summary:
* D(E_F): 3.32 states/eV per cell
* energy above the lowest structure with this stoichiometry: 4.2 kJ/mol of atoms
* ΔE_f: -0.048 eV per atom
* uncorrected energy: -6.6580 eV per atom

---

# 12
Here is a relaxed structure of PCBrCl2 from the Alexandria database. Energies are from GGA-PBEsol.

a b c (Å): 4.2082 4.2082 4.6248
angles (deg): 90.00 90.00 90.00
Fractional coordinates of all 5 atoms:
C  0.0000  0.0000  0.0000
P  0.0000  0.0000  0.5000
Cl  0.0000  0.5000  0.0000
Br  0.5000  0.5000  0.5000
Cl  0.5000  0.0000  0.0000

Summary:
* D(E_F): 2.20 states/eV per cell
* uncorrected energy: -3.1725 eV per atom
* formation energy without anion corrections: 1.092 eV per atom

---

# 13
Here is a relaxed structure of LaMn2F from the Alexandria database. Energies are from GGA-PBEsol.

a b c (Å): 4.4673 4.4673 4.4673
angles (deg): 60.00 60.00 60.00
Each line ends with the local moment (μB).
Fractional coordinates of all 4 atoms:
La  0.5000  0.5000  0.5000  -0.28
Mn  0.2500  0.2500  0.2500  2.91
F  0.0000  0.0000  0.0000  0.10
Mn  0.7500  0.7500  0.7500  2.91

Summary:
* D(E_F): 2.64 states/eV per cell
* uncorrected energy: -6.3175 eV per atom
* formation energy without anion corrections: 0.381 eV per atom

---

# 14
Here is a relaxed structure of RbLi3Rh from the Alexandria database. Energies are from GGA-PBEsol.

a b c (Å): 4.9194 4.9194 4.9194
angles (deg): 90.00 90.00 90.00
Fractional coordinates of all 5 atoms:
Li  0.0000  0.0000  0.5000
Rh  0.0000  0.0000  0.0000
Li  0.5000  0.0000  0.0000
Li  0.0000  0.5000  0.0000
Rb  0.5000  0.5000  0.5000

Summary:
* D(E_F): 1.92 states/eV per cell
* ΔE_f: 0.255 eV per atom
* uncorrected energy: -2.7583 eV per atom

---

# 15
Here is a relaxed structure of CaSc2P from the Alexandria database. Energies are from GGA-PBEsol.

a b c (Å): 4.8653 4.8653 4.8653
angles (deg): 60.00 60.00 60.00
Each line ends with the local moment (μB).
Fractional coordinates of all 4 atoms:
Ca  0.5000  0.5000  0.5000  0.08
Sc  0.7500  0.7500  0.7500  0.59
P  0.2500  0.2500  0.2500  -0.02
Sc  0.0000  0.0000  0.0000  0.35

Summary:
* D(E_F): 6.15 states/eV per cell
* ΔE_f: -0.044 eV per atom
* uncorrected energy: -5.3280 eV per atom

---

# 16
Here is a relaxed structure of AsH2OsCl from the Alexandria database. Energies are from GGA-PBEsol.

a b c (Å): 3.4585 3.4585 5.1886
angles (deg): 90.00 90.00 90.00
Fractional coordinates of all 5 atoms:
As  0.5000  0.5000  0.5000
Cl  0.0000  0.0000  0.0000
H  0.5000  0.0000  0.0000
Os  0.0000  0.0000  0.5000
H  0.0000  0.5000  0.0000

Summary:
* D(E_F): 3.08 states/eV per cell
* uncorrected energy: -4.2913 eV per atom

---

# 17
Here is a relaxed structure of Ba3SnCl from the Alexandria database. Energies are from GGA-PBEsol.

a b c (Å): 6.6346 6.6346 6.6346
angles (deg): 90.00 90.00 90.00
Fractional coordinates of all 5 atoms:
Sn  0.0000  0.0000  0.0000
Ba  0.0000  0.5000  0.0000
Ba  0.0000  0.0000  0.5000
Ba  0.5000  0.0000  0.0000
Cl  0.5000  0.5000  0.5000

Summary:
* D(E_F): 2.26 states/eV per cell
* uncorrected energy: -3.0593 eV per atom
* formation energy without anion corrections: -0.516 eV per atom

---

# 18
Here is a relaxed structure of TaMnSe from the Alexandria database. Energies are from GGA-PBEsol.

a b c (Å): 4.0144 4.0144 4.0144
angles (deg): 60.00 60.00 60.00
Fractional coordinates of all 3 atoms:
Se  0.0000  0.0000  0.0000
Mn  0.2500  0.2500  0.2500
Ta  0.5000  0.5000  0.5000

Summary:
* D(E_F): 0.50 states/eV per cell
* uncorrected energy: -8.8624 eV per atom
* formation energy without anion corrections: -0.142 eV per atom

---

# 19
Here is a relaxed structure of IrRh3 from the Alexandria database. Energies are from GGA-PBEsol.

a b c (Å): 2.6825 2.6825 7.5652
angles (deg): 90.00 90.00 90.00
Fractional coordinates of all 4 atoms:
Ir  0.0000  0.0000  0.0000
Rh  0.5000  0.5000  0.2495
Rh  0.5000  0.5000  0.7505
Rh  0.0000  0.0000  0.5000

Summary:
* D(E_F): 4.16 states/eV per cell
* ΔE_f: -0.012 eV per atom
* uncorrected energy: -8.5721 eV per atom

---

# 20
Here is a relaxed structure of Sr7Ca from the Alexandria database. Energies are from GGA-PBEsol.

a b c (Å): 8.2929 8.2929 8.2929
angles (deg): 60.00 60.00 60.00
Fractional coordinates of all 8 atoms:
Sr  0.5000  0.0000  0.5000
Ca  0.0000  0.0000  0.0000
Sr  0.5000  0.5000  0.0000
Sr  0.0000  0.0000  0.5000
Sr  0.0000  0.5000  0.0000
Sr  0.0000  0.5000  0.5000
Sr  0.5000  0.0000  0.0000
Sr  0.5000  0.5000  0.5000

Summary:
* D(E_F): 8.74 states/eV per cell
* ΔE_f: 0.008 eV per atom
* uncorrected energy: -1.8687 eV per atom